A plane-wave DFT calculation with PBE-GGA was carried out for CrIn2Ir after structural relaxation.

The space group is C2/m (No. 12) and the conventional cell measures 9.126, 3.160 and 5.164 Å, with angles of 90.00, 100.85 and 90.00 degrees. The inequivalent atoms are Cr at (0.000, 0.000, 0.000), In at (0.245, 0.000, 0.743) and Ir at (0.000, 0.500, 0.500).

For the theoretical density, the calculation gives 10762 kg/m³. The crystal system is monoclinic. The formation energy is 85.3 kJ/mol of formula units.